Entry 1:
Entry from Alexandria via LeMat-Bulk: an optimized crystal structure of Nd2GeI3 (PBE).

Cell and atoms, written as POSCAR:
```
Nd2GeI3
1.0
9.689 -2.387 0.000
9.689 2.387 0.000
-7.137 0.000 10.314
Nd Ge I
4 2 6
direct
0.106 0.106 0.432
0.367 0.367 0.215
0.633 0.633 0.785
0.894 0.894 0.568
0.059 0.059 0.620
0.941 0.941 0.380
0.164 0.164 0.000
0.267 0.267 0.378
0.458 0.458 0.777
0.542 0.542 0.223
0.733 0.733 0.622
0.836 0.836 0.000
```

DOS(E_F): 1.5 states/eV/cell
Total energy: -0.31124 Ry/atom
Magnetic moment: 0.000 Bohr magnetons per cell

Entry 2:
Entry from Alexandria via LeMat-Bulk: an optimized crystal structure of Cu2SiPd (PBE).

Cell and atoms, written as POSCAR:
```
Cu2SiPd
1.0
6.796 0.000 0.000
0.000 6.796 0.000
0.000 0.000 4.903
Cu Si Pd
8 4 4
direct
0.221 0.250 0.125
0.250 0.721 0.375
0.250 0.779 0.875
0.279 0.250 0.625
0.721 0.750 0.625
0.750 0.221 0.875
0.750 0.279 0.375
0.779 0.750 0.125
0.000 0.000 0.000
0.000 0.500 0.250
0.500 0.000 0.750
0.500 0.500 0.500
0.000 0.000 0.500
0.000 0.500 0.750
0.500 0.000 0.250
0.500 0.500 0.000
```

DOS(E_F): 3.6 states/eV/cell
Total energy: -0.34500 Ry/atom
Magnetic moment: 0.000 Bohr magnetons per cell

Entry 3:
Entry from Alexandria via LeMat-Bulk: an optimized crystal structure of SbIrBr2 (PBE).

Cell and atoms, written as POSCAR:
```
SbIrBr2
1.0
5.397 0.000 0.000
0.000 13.593 0.000
0.000 0.000 3.550
Sb Ir Br
2 2 4
direct
0.000 0.000 0.000
0.500 0.500 0.000
0.000 0.500 0.000
0.500 0.000 0.000
0.000 0.370 0.500
0.000 0.630 0.500
0.500 0.130 0.500
0.500 0.870 0.500
```

DOS(E_F): 3.3 states/eV/cell
Total energy: -0.29208 Ry/atom
Magnetic moment: 0.000 Bohr magnetons per cell

Entry 4:
Entry from Alexandria via LeMat-Bulk: an optimized crystal structure of Sr3Ho3ZnS8 (PBE).

Cell and atoms, written as POSCAR:
```
Sr3Ho3ZnS8
1.0
3.968 2.291 6.819
-3.968 2.291 6.819
0.000 -4.581 6.819
Sr Ho Zn S
3 3 1 8
direct
0.000 0.500 0.500
0.500 0.000 0.500
0.500 0.500 0.000
0.000 0.000 0.500
0.000 0.500 0.000
0.500 0.000 0.000
0.500 0.500 0.500
0.242 0.242 0.242
0.248 0.734 0.734
0.266 0.266 0.752
0.266 0.752 0.266
0.734 0.248 0.734
0.734 0.734 0.248
0.752 0.266 0.266
0.758 0.758 0.758
```

DOS(E_F): 3.6 states/eV/cell
Total energy: -0.39574 Ry/atom
Magnetic moment: 0.000 Bohr magnetons per cell